Crystalline BaH16O10 at its relaxed geometry, computed with GGA-PBEsol.

Calculated values
**Crystal system**: monoclinic
**Uncorrected energy**: -0.377 Ry per atom

Cell and atoms, written as POSCAR:
```
BaH16O10
1.0
6.2051 0.0547 0.1144
-0.0553 6.2051 0.1144
-0.2527 -0.2572 11.2833
H O Ba
32 20 2
Cartesian
4.2124 3.6108 10.1875
2.2415 4.2799 10.1763
4.3658 2.4455 4.5346
1.6660 3.6948 4.5133
4.8903 1.6282 3.2721
1.5667 3.6313 7.0057
3.6620 4.4043 4.5458
3.5383 1.6026 10.1550
1.5665 4.9205 2.6575
4.5239 4.9244 3.3066
1.7612 2.4647 1.3773
1.4150 4.7897 8.9138
4.2748 2.3912 7.0538
4.7657 1.5248 8.2992
3.7293 1.7594 1.3640
4.7171 4.4818 8.9482
2.4207 1.6992 4.5150
1.5297 2.3218 10.1566
0.0451 2.6459 9.6077
3.2284 5.8616 7.5994
4.4419 3.7552 1.4041
3.5495 4.3792 7.0458
0.0753 3.2859 7.5068
2.3068 1.6760 7.0189
2.4414 4.4451 1.4122
0.1865 3.3969 3.9508
3.4104 0.2621 1.8651
3.2668 0.1180 9.5925
1.2589 1.5985 2.6191
1.4496 1.1584 8.2607
2.7710 0.2206 3.9660
5.9298 3.4603 1.9577
0.8377 4.1403 4.1049
3.9985 0.7823 9.7466
5.2700 4.1990 1.8149
1.8230 5.1176 9.7692
2.8799 2.9150 10.6876
2.9899 3.0597 5.0459
2.0000 5.2714 1.8231
3.9787 5.2150 7.4566
2.0085 0.8555 4.1048
1.8872 0.8354 7.4190
0.7229 4.0449 7.4094
0.6934 1.8948 9.7465
3.1162 3.1281 0.8693
0.9282 2.0303 1.7774
2.9460 3.0425 6.5110
4.0945 5.2430 4.1543
4.1578 0.9231 1.7678
5.1088 1.9645 7.4647
5.0433 4.0581 9.7960
5.2109 2.0420 4.1275
-0.0876 -0.0740 5.6678
0.0539 0.0397 0.0261
```